No. 1
VASP calculation (GGA-PBE) on a relaxed structure of V6Co2N.

The structure in POSCAR format:
```
V6Co2N
1.0
5.2807 0.0000 0.0000
0.0000 5.3286 0.0000
-5.2676 0.0000 7.7481
V Co N
12 4 2
Cartesian
-0.3933 0.0927 1.9220
-3.0271 2.5716 5.7961
1.2398 3.8179 0.2683
-1.3940 4.1750 4.1423
1.5410 1.2332 0.2675
-1.0928 1.4311 4.1416
1.1058 3.8975 3.6065
-1.5280 4.0954 7.4806
1.4070 1.1536 3.6058
-1.2268 1.5107 7.4798
3.0401 2.7570 1.9520
0.4063 5.2359 5.8261
0.0248 2.6689 1.9291
-2.6090 5.3240 5.8032
2.6220 0.0046 1.9449
-0.0118 2.6597 5.8190
0.0000 0.0000 0.0000
-2.6338 2.6643 3.8741
```

Computed properties:
ΔE_f (raw) (eV/f.u.): -2.54
Total moment (μB per cell): 0.00
Fermi-level density of states (states/eV per cell): 20.869
DFT total energy (eV/atom): -8.866

No. 2
VASP calculation (GGA-PBE) on a relaxed structure of K2Mn3.

The structure in POSCAR format:
```
K2Mn3
1.0
1.7910 1.0341 12.1218
-1.7910 1.0341 12.1218
0.0000 -2.0681 12.1218
K Mn
2 3
Cartesian
0.0000 0.0000 2.8954
0.0000 0.0000 33.4699
0.0000 0.0000 12.2202
0.0000 0.0000 18.1827
0.0000 0.0000 24.1452
```

Computed properties:
Calculated formation energy (eV/atom): 1.1603
Polymorph energy (0 for the lowest one) (meV per atom): 111
Total moment (μB per cell): 4.11
Fermi-level density of states (states/eV per cell): 5.883
DFT total energy (eV/atom): -4.780

No. 3
VASP calculation (GGA-PBE) on a relaxed structure of BaSrMg2Rh.

The structure in POSCAR format:
```
BaSrMg2Rh
1.0
5.3417 0.0000 0.0000
0.0000 5.3417 0.0000
0.0000 0.0000 5.7003
Ba Sr Mg Rh
1 1 2 1
Cartesian
0.0000 0.0000 0.0000
2.6709 2.6709 0.0000
0.0000 2.6709 2.8501
2.6709 0.0000 2.8501
0.0000 0.0000 2.8501
```

Computed properties:
Calculated formation energy (eV/atom): -0.0860
Polymorph energy (0 for the lowest one) (meV per atom): 80
Total moment (μB per cell): 0.00
Fermi-level density of states (states/eV per cell): 4.235
DFT total energy (eV/atom): -2.915

No. 4
VASP calculation (GGA-PBE) on a relaxed structure of Ac2Sm3Zn2.

The structure in POSCAR format:
```
Ac2Sm3Zn2
1.0
1.8869 -15.9079 0.0000
1.8869 15.9079 0.0000
0.0000 0.0000 3.7358
Ac Sm Zn
2 3 2
Cartesian
1.8869 9.7166 0.0000
1.8869 -9.7166 0.0000
1.8869 13.4326 0.0000
1.8869 0.0000 1.8679
1.8869 -13.4326 0.0000
1.8869 4.1203 1.8679
1.8869 -4.1203 1.8679
```

Computed properties:
Calculated formation energy (eV/atom): -0.0995
Total moment (μB per cell): 0.00
Fermi-level density of states (states/eV per cell): 8.459
DFT total energy (eV/atom): -3.660

No. 5
VASP calculation (GGA-PBE) on a relaxed structure of Tb2MoOs3.

The structure in POSCAR format:
```
Tb2MoOs3
1.0
5.4989 0.0000 0.0000
-2.7494 4.7622 0.0000
0.0000 0.0000 8.5195
Tb Mo Os
4 2 6
Cartesian
0.0000 3.1748 0.5570
0.0000 3.1748 3.7027
2.7494 1.5874 4.8168
2.7494 1.5874 7.9625
0.0000 0.0000 0.0000
0.0000 0.0000 4.2597
0.0000 1.6422 6.3896
-1.3272 3.9410 6.3896
1.4222 0.8211 2.1299
1.3272 3.9410 6.3896
4.0767 0.8211 2.1299
2.7494 3.1199 2.1299
```

Computed properties:
Calculated formation energy (eV/atom): -0.2426
Total moment (μB per cell): 0.00
Fermi-level density of states (states/eV per cell): 14.700
DFT total energy (eV/atom): -9.206

No. 6
VASP calculation (GGA-PBE) on a relaxed structure of In2Se2I.

The structure in POSCAR format:
```
In2Se2I
1.0
-4.4497 4.4497 5.2581
4.4497 -4.4497 5.2581
4.4497 4.4497 -5.2581
In Se I
4 4 2
Cartesian
0.0000 2.6952 0.0000
0.0000 6.2041 0.0000
2.6952 4.4497 2.6290
1.7545 0.0000 7.8871
2.0644 4.4497 0.0151
2.3853 0.0000 5.2732
4.4497 2.3853 2.6441
0.0000 2.0644 7.9022
0.0000 0.0000 1.1969
0.0000 4.4497 3.8260
```

Computed properties:
ΔE_f (raw) (eV/f.u.): -1.90
Polymorph energy (0 for the lowest one) (meV per atom): 42
Total moment (μB per cell): 0.00
Fermi-level density of states (states/eV per cell): 6.071
DFT total energy (eV/atom): -3.179

No. 7
VASP calculation (GGA-PBE) on a relaxed structure of Cd2InSi.

The structure in POSCAR format:
```
Cd2InSi
1.0
-2.1980 2.1980 4.5829
2.1980 -2.1980 4.5829
2.1980 2.1980 -4.5829
Cd In Si
2 1 1
Cartesian
2.1980 0.0000 2.2914
0.0000 2.1980 2.2914
0.0000 0.0000 0.0000
0.0000 0.0000 4.5829
```

Computed properties:
ΔE_f (raw) (eV/f.u.): 1.15
Polymorph energy (0 for the lowest one) (meV per atom): 37
Total moment (μB per cell): 0.00
Fermi-level density of states (states/eV per cell): 2.064
DFT total energy (eV/atom): -2.210

No. 8
VASP calculation (GGA-PBE) on a relaxed structure of TmFe3B3.

The structure in POSCAR format:
```
TmFe3B3
1.0
5.4744 0.0000 0.0000
0.0000 5.4744 0.0000
0.0000 0.0000 5.4744
Tm Fe B
2 6 6
Cartesian
0.0000 0.0000 0.0000
2.7372 2.7372 2.7372
0.0000 1.3686 2.7372
0.0000 4.1058 2.7372
1.3686 2.7372 0.0000
2.7372 0.0000 1.3686
2.7372 0.0000 4.1058
4.1058 2.7372 0.0000
0.0000 2.7372 1.3686
0.0000 2.7372 4.1058
1.3686 0.0000 2.7372
2.7372 1.3686 0.0000
2.7372 4.1058 0.0000
4.1058 0.0000 2.7372
```

Computed properties:
Calculated formation energy (eV/atom): -0.0605
Polymorph energy (0 for the lowest one) (meV per atom): 126
Total moment (μB per cell): 5.32
Fermi-level density of states (states/eV per cell): 12.830
DFT total energy (eV/atom): -7.188

No. 9
VASP calculation (GGA-PBE) on a relaxed structure of RbNaBi2Se4.

The structure in POSCAR format:
```
RbNaBi2Se4
1.0
2.1953 -7.2551 0.0000
2.1953 7.2551 0.0000
0.0000 0.0000 15.5836
Rb Na Bi Se
2 2 4 8
Cartesian
2.1953 5.6341 11.6877
2.1953 -5.6341 3.8959
2.1953 4.8183 3.8959
2.1953 -4.8183 11.6877
2.1953 1.9024 8.7894
2.1953 1.9024 14.5860
2.1953 -1.9024 0.9976
2.1953 -1.9024 6.7942
0.0000 0.0000 0.0000
0.0000 0.0000 7.7918
2.1953 3.4140 1.5434
2.1953 3.4140 6.2484
2.1953 0.8974 11.6877
2.1953 -0.8974 3.8959
2.1953 -3.4140 9.3352
2.1953 -3.4140 14.0402
```

Computed properties:
ΔE_f (raw) (eV/f.u.): -5.26
Total moment (μB per cell): 0.00
DFT total energy (eV/atom): -3.656

No. 10
VASP calculation (GGA-PBE) on a relaxed structure of AsPRu2.

The structure in POSCAR format:
```
AsPRu2
1.0
1.4409 -2.4032 0.0000
1.4409 2.4032 0.0000
0.0000 0.0000 9.7111
As P Ru
1 1 2
Cartesian
0.0000 0.0000 0.0000
1.4409 0.0000 6.1751
0.0000 0.0000 4.3771
1.4409 0.0000 2.0242
```

Computed properties:
Calculated formation energy (eV/atom): 0.2873
Polymorph energy (0 for the lowest one) (meV per atom): 577
Total moment (μB per cell): 0.00
Fermi-level density of states (states/eV per cell): 4.053
DFT total energy (eV/atom): -6.865

No. 11
VASP calculation (GGA-PBE) on a relaxed structure of TmTaTcC3.

The structure in POSCAR format:
```
TmTaTcC3
1.0
6.8354 0.0000 0.0000
0.0000 3.2298 0.0000
-0.6025 0.0000 7.7215
Tm Ta Tc C
2 2 2 6
Cartesian
0.9288 0.8074 1.3575
5.3041 2.4223 6.3640
1.9838 2.4223 6.7298
4.2491 0.8074 0.9917
0.5055 0.8074 4.5735
5.7274 2.4223 3.1480
0.4468 0.8074 6.5975
0.9348 2.4223 3.4826
2.7510 2.4223 1.0686
3.4819 0.8074 6.6529
5.2982 0.8074 4.2389
5.7861 2.4223 1.1240
```

Computed properties:
Calculated formation energy (eV/atom): -0.0442
Total moment (μB per cell): 0.00
Fermi-level density of states (states/eV per cell): 6.339
DFT total energy (eV/atom): -9.104